1.
A relaxed structure of SmTmGeS. Source: the Alexandria database, functional PBE.

a b c (Å): 7.0663 7.0663 7.0663
angles (deg): 33.40 33.40 33.40
Fractional coordinates of all 4 atoms:
Sm: 0.0000 0.0000 0.0000
Tm: 0.5001 0.5001 0.5001
Ge: 0.2472 0.2472 0.2472
S: 0.7538 0.7538 0.7538

Properties
calculated total energy	-5.91	eV per atom
density of states at the Fermi level	0.36	states/eV per atom
space-group type	No. 160
formation energy (no corrections)	-1.43	eV/atom

***

2.
A relaxed structure of Sn2GeS4. Source: the Alexandria database, functional PBE.

a b c (Å): 6.8368 6.6015 8.4510
angles (deg): 90.00 106.33 90.00
Fractional coordinates of all 14 atoms:
Sn: 0.2070 0.2500 0.4299
Sn: 0.2869 0.2500 0.9478
Sn: 0.7131 0.7500 0.0522
Sn: 0.7930 0.7500 0.5701
Ge: 0.2977 0.7500 0.7150
Ge: 0.7023 0.2500 0.2850
S: 0.0656 0.7500 0.8555
S: 0.1245 0.7500 0.4487
S: 0.4831 0.5057 0.2113
S: 0.4831 0.9943 0.2113
S: 0.5169 0.0057 0.7887
S: 0.5169 0.4943 0.7887
S: 0.8755 0.2500 0.5513
S: 0.9344 0.2500 0.1445

Properties
calculated total energy	-4.51	eV per atom
energy above the lowest structure with this stoichiometry	0.000	eV per atom
space-group type	No. 11
formation energy (no corrections)	-0.35	eV/atom

***

3.
A relaxed structure of SnGeS3. Source: the Alexandria database, functional PBE.

a b c (Å): 7.8163 10.6310 6.9109
angles (deg): 90.00 105.38 90.00
Fractional coordinates of all 20 atoms:
Sn: 0.1198 0.0688 0.2790
Sn: 0.1198 0.4312 0.7790
Sn: 0.8802 0.5688 0.2210
Sn: 0.8802 0.9312 0.7210
Ge: 0.2989 0.7189 0.4866
Ge: 0.2989 0.7811 0.9866
Ge: 0.7011 0.2189 0.0134
Ge: 0.7011 0.2811 0.5134
S: 0.0537 0.6655 0.9063
S: 0.0537 0.8345 0.4063
S: 0.2084 0.5198 0.4261
S: 0.2084 0.9802 0.9261
S: 0.4860 0.7309 0.7985
S: 0.4860 0.7691 0.2985
S: 0.5140 0.2309 0.7015
S: 0.5140 0.2691 0.2015
S: 0.7916 0.0198 0.0739
S: 0.7916 0.4802 0.5739
S: 0.9463 0.1655 0.5937
S: 0.9463 0.3345 0.0937

Properties
calculated total energy	-4.59	eV per atom
density of states at the Fermi level	0.00	states/eV per atom
energy above the lowest structure with this stoichiometry	0.000	eV per atom
space-group type	No. 14
formation energy (no corrections)	-0.39	eV/atom

***

4.
A relaxed structure of SnGeS4. Source: the Alexandria database, functional PBE.

a b c (Å): 7.5347 7.5347 6.2089
angles (deg): 114.30 114.30 27.39
Fractional coordinates of all 6 atoms:
Sn: 0.0000 0.0000 0.0000
Ge: 0.5000 0.5000 0.5000
S: 0.1070 0.1070 0.4536
S: 0.3903 0.3903 0.0739
S: 0.6097 0.6097 0.9261
S: 0.8930 0.8930 0.5464

Properties
calculated total energy	-4.46	eV per atom
space-group type	No. 12
formation energy (no corrections)	-0.27	eV/atom

***

5.
A relaxed structure of Sn2GeS. Source: the Alexandria database, functional PBE.

a b c (Å): 7.6599 7.6599 7.6599
angles (deg): 29.87 29.87 29.87
Fractional coordinates of all 4 atoms:
Sn: 0.0000 0.0000 0.0000
Sn: 0.1763 0.1763 0.1763
Ge: 0.5812 0.5812 0.5812
S: 0.4064 0.4064 0.4064

Properties
calculated total energy	-4.17	eV per atom
density of states at the Fermi level	0.51	states/eV per atom
energy above the lowest structure with this stoichiometry	0.000	eV per atom
space-group type	No. 160
formation energy (no corrections)	0.02	eV/atom

***

6.
A relaxed structure of SnGe3S. Source: the Alexandria database, functional PBE.

a b c (Å): 5.3222 5.3222 5.3222
angles (deg): 90.00 90.00 90.00
Fractional coordinates of all 5 atoms:
Sn: 0.0000 0.0000 0.0000
Ge: 0.0000 0.0000 0.5000
Ge: 0.0000 0.5000 0.0000
Ge: 0.5000 0.0000 0.0000
S: 0.5000 0.5000 0.5000

Properties
calculated total energy	-3.35	eV per atom
density of states at the Fermi level	0.73	states/eV per atom
energy above the lowest structure with this stoichiometry	0.615	eV per atom
space-group type	No. 221
formation energy (no corrections)	1.05	eV/atom

***

7.
A relaxed structure of SnGe2S6. Source: the Alexandria database, functional PBE.

a b c (Å): 9.3139 9.3139 6.0901
angles (deg): 107.75 107.75 90.67
Fractional coordinates of all 18 atoms:
Sn: 0.2057 0.7943 0.7500
Sn: 0.7943 0.2057 0.2500
Ge: 0.2056 0.3646 0.6605
Ge: 0.3646 0.2056 0.1605
Ge: 0.6354 0.7944 0.8395
Ge: 0.7944 0.6354 0.3395
S: 0.0128 0.1942 0.5926
S: 0.1611 0.5873 0.8940
S: 0.1942 0.0128 0.0926
S: 0.2732 0.4110 0.3640
S: 0.4110 0.2732 0.8640
S: 0.4128 0.8389 0.6060
S: 0.5873 0.1611 0.3940
S: 0.5890 0.7268 0.1360
S: 0.7268 0.5890 0.6360
S: 0.8058 0.9872 0.9074
S: 0.8389 0.4128 0.1060
S: 0.9872 0.8058 0.4074

Properties
calculated total energy	-4.50	eV per atom
density of states at the Fermi level	0.00	states/eV per atom
space-group type	No. 15
formation energy (no corrections)	-0.28	eV/atom

***

8.
A relaxed structure of Sn2GeS. Source: the Alexandria database, functional PBE.

a b c (Å): 8.1776 8.1776 8.1776
angles (deg): 137.04 137.04 62.38
Fractional coordinates of all 8 atoms:
Sn: 0.1199 0.6250 0.9949
Sn: 0.3750 0.3699 0.4949
Sn: 0.6301 0.1250 0.0051
Sn: 0.8750 0.8801 0.5051
Ge: 0.2500 0.7500 0.5000
Ge: 0.5000 0.5000 0.0000
S: 0.0000 0.0000 0.0000
S: 0.7500 0.2500 0.5000

Properties
calculated total energy	-4.09	eV per atom
density of states at the Fermi level	0.77	states/eV per atom
energy above the lowest structure with this stoichiometry	0.082	eV per atom
space-group type	No. 122
formation energy (no corrections)	0.10	eV/atom

***

Mass density per entry: 7.4 4.0 3.4 3.6 5.8 4.1 3.2 4.5 g/cm³